1.
PBE Y3In5S12, optimized geometry; size of the total moment = 0.00 μB per formula unit; E_form (uncorrected) = -1.08 eV per atom
1.0
13.604 0.000 0.000
-4.535 12.826 0.000
-4.535 -6.413 11.108
Y In S
12 20 48
direct
0.750 0.375 0.125
0.875 0.750 0.125
0.375 0.750 0.625
0.250 0.125 0.375
0.875 0.125 0.250
0.375 0.625 0.250
0.625 0.375 0.750
0.125 0.875 0.750
0.750 0.875 0.625
0.625 0.250 0.375
0.125 0.250 0.875
0.250 0.625 0.875
0.125 0.375 0.250
0.000 0.500 0.000
0.000 0.000 0.000
0.375 0.250 0.125
0.500 0.000 0.500
0.500 0.500 0.000
0.125 0.750 0.375
0.750 0.125 0.875
0.750 0.625 0.375
0.375 0.125 0.750
0.625 0.875 0.250
0.500 0.500 0.500
0.500 0.000 0.000
0.000 0.000 0.500
0.250 0.375 0.625
0.250 0.875 0.125
0.000 0.500 0.500
0.875 0.250 0.625
0.625 0.750 0.875
0.875 0.625 0.750
0.718 0.131 0.044
0.326 0.544 0.413
0.956 0.369 0.282
0.544 0.218 0.131
0.586 0.718 0.674
0.956 0.587 0.174
0.326 0.782 0.414
0.087 0.914 0.131
0.587 0.956 0.674
0.718 0.586 0.174
0.782 0.456 0.369
0.826 0.913 0.044
0.131 0.718 0.544
0.369 0.413 0.086
0.086 0.913 0.369
0.414 0.131 0.587
0.086 0.174 0.218
0.456 0.674 0.087
0.826 0.914 0.282
0.131 0.414 0.087
0.369 0.956 0.782
0.587 0.631 0.414
0.913 0.826 0.544
0.782 0.326 0.914
0.413 0.369 0.586
0.087 0.174 0.456
0.218 0.674 0.086
0.174 0.086 0.718
0.631 0.044 0.218
0.869 0.586 0.913
0.544 0.326 0.913
0.586 0.869 0.413
0.914 0.826 0.782
0.914 0.087 0.631
0.869 0.282 0.456
0.174 0.087 0.956
0.631 0.587 0.914
0.413 0.044 0.326
0.282 0.414 0.826
0.218 0.544 0.631
0.913 0.086 0.869
0.674 0.218 0.586
0.456 0.782 0.869
0.044 0.413 0.826
0.414 0.282 0.326
0.044 0.631 0.718
0.674 0.456 0.587
0.282 0.869 0.956

=====

2.
PBE Ba3NaTc2O8, optimized geometry; size of the total moment = 3.13 μB per formula unit; E_form (uncorrected) = -1.94 eV per atom
1.0
5.937 0.000 0.000
-2.969 5.142 0.000
0.000 0.000 7.835
Ba Na Tc O
3 1 2 8
direct
0.333 0.667 0.633
0.667 0.333 0.367
0.000 0.000 0.000
0.000 0.000 0.500
0.333 0.667 0.189
0.667 0.333 0.811
0.333 0.667 0.956
0.667 0.333 0.044
0.173 0.827 0.308
0.827 0.173 0.692
0.173 0.347 0.308
0.827 0.653 0.692
0.653 0.827 0.308
0.347 0.173 0.692

=====

3.
PBE MgSiW2, optimized geometry; size of the total moment = 0.00 μB per formula unit; E_form (uncorrected) = 0.29 eV per atom
1.0
5.029 -0.008 -0.008
1.991 4.618 0.008
-3.139 -2.870 2.683
Mg Si W
1 1 2
direct
0.496 0.496 0.000
0.240 0.740 0.500
0.002 0.002 0.000
0.761 0.261 0.500